A plane-wave DFT calculation with PBE with a Hubbard U was carried out for an optimized crystal structure of Li7Mn2Co3O12.

Space-group type: No. 1
Size of the total moment: 0.67 μB per atom
ρ: 4.113 g/cm3
Electronic total energy: -5.872 eV per atom

Cell lengths 5.053, 5.845, 7.800 Å; angles 78.16, 78.43, 72.70 degrees
Each line ends with the local moment (μB).
Element x y z (fractional)
O 0.247 0.807 0.420  0.01
O 0.787 0.983 0.237  -0.09
O 0.736 0.186 0.586  0.17
O 0.224 0.017 0.763  0.21
O 0.755 0.858 0.914  0.20
O 0.231 0.684 0.078  0.09
O 0.271 0.483 0.732  0.19
O 0.258 0.353 0.419  0.02
O 0.749 0.511 0.276  -0.02
O 0.740 0.645 0.586  0.19
O 0.758 0.316 0.919  0.19
O 0.237 0.161 0.070  0.11
Li 0.501 0.833 0.167  0.01
Li 0.513 0.997 0.488  0.01
Li 0.493 0.664 0.842  0.01
Li 0.986 0.505 0.008  0.01
Li 0.492 0.340 0.161  0.00
Li 0.008 0.164 0.327  0.01
Li 0.000 0.835 0.666  0.01
Co 0.013 0.667 0.327  1.91
Co 0.501 0.156 0.843  3.07
Co 0.996 0.336 0.668  3.08
Mn 0.503 0.501 0.497  3.15
Mn 0.002 0.997 0.006  3.11